Record 1
# SiAg2TeRu, relaxed, DFT PBE
# Volume (Å³/atom): 27.8
# Space group: No. 123
# Calculated total energy (eV/atom): -3.120
data_SiAg2TeRu
_chemical_formula_sum 'Si1 Ag2 Te1 Ru1'
_space_group_name_H-M_alt 'P 1'
_space_group_IT_number 1
_space_group_name_Hall 'P 1'
_cell_length_a 5.1021
_cell_length_b 5.3491
_cell_length_c 5.1021
_cell_angle_alpha 90.00
_cell_angle_beta 90.00
_cell_angle_gamma 90.00
loop_
_atom_site_label
_atom_site_type_symbol
_atom_site_fract_x
_atom_site_fract_y
_atom_site_fract_z
Si1 Si 0.0000 0.5000 0.0000
Te1 Te 0.0000 0.0000 0.0000
Ru1 Ru 0.5000 0.5000 0.5000
Ag1 Ag 0.0000 0.0000 0.5000
Ag2 Ag 0.5000 0.0000 0.0000

=====

Record 2
# TlSi2AgRu, relaxed, DFT PBE
# Volume (Å³/atom): 24.0
# Space group: No. 123
# Calculated total energy (eV/atom): -3.589
data_TlSi2AgRu
_chemical_formula_sum 'Tl1 Si2 Ag1 Ru1'
_space_group_name_H-M_alt 'P 1'
_space_group_IT_number 1
_space_group_name_Hall 'P 1'
_cell_length_a 4.6909
_cell_length_b 5.4619
_cell_length_c 4.6909
_cell_angle_alpha 90.00
_cell_angle_beta 90.00
_cell_angle_gamma 90.00
loop_
_atom_site_label
_atom_site_type_symbol
_atom_site_fract_x
_atom_site_fract_y
_atom_site_fract_z
Ru1 Ru 0.5000 0.5000 0.5000
Si1 Si 0.0000 0.0000 0.5000
Si2 Si 0.5000 0.0000 0.0000
Ag1 Ag 0.0000 0.0000 0.0000
Tl1 Tl 0.0000 0.5000 0.0000

=====

Record 3
# VSiAgRu2, relaxed, DFT PBE
# Volume (Å³/atom): 18.9
# Space group: No. 123
# Calculated total energy (eV/atom): -5.918
data_VSiAgRu2
_chemical_formula_sum 'V1 Si1 Ag1 Ru2'
_space_group_name_H-M_alt 'P 1'
_space_group_IT_number 1
_space_group_name_Hall 'P 1'
_cell_length_a 4.3907
_cell_length_b 4.8985
_cell_length_c 4.3907
_cell_angle_alpha 90.00
_cell_angle_beta 90.00
_cell_angle_gamma 90.00
loop_
_atom_site_label
_atom_site_type_symbol
_atom_site_fract_x
_atom_site_fract_y
_atom_site_fract_z
V1 V 0.0000 0.0000 0.0000
Ru1 Ru 0.5000 0.0000 0.0000
Ru2 Ru 0.0000 0.0000 0.5000
Ag1 Ag 0.0000 0.5000 0.0000
Si1 Si 0.5000 0.5000 0.5000

=====

Record 4
# Sm7Ag2Ru2, relaxed, DFT PBE
# Volume (Å³/atom): 28.8
# Energy of formation from the pure elements (eV/atom): -0.136
# Space group: No. 65
# Calculated total energy (eV/atom): -5.344
data_Sm7Ag2Ru2
_chemical_formula_sum 'Sm7 Ag2 Ru2'
_space_group_name_H-M_alt 'P 1'
_space_group_IT_number 1
_space_group_name_Hall 'P 1'
_cell_length_a 6.8606
_cell_length_b 7.1257
_cell_length_c 6.8606
_cell_angle_alpha 90.00
_cell_angle_beta 109.00
_cell_angle_gamma 90.00
loop_
_atom_site_label
_atom_site_type_symbol
_atom_site_fract_x
_atom_site_fract_y
_atom_site_fract_z
Sm1 Sm 0.0000 0.0000 0.0000
Sm2 Sm 0.5000 0.7430 0.0000
Sm3 Sm 0.5000 0.7528 0.5000
Sm4 Sm 0.5000 0.2570 0.0000
Sm5 Sm 0.0000 0.2570 0.5000
Sm6 Sm 0.0000 0.7430 0.5000
Sm7 Sm 0.5000 0.2472 0.5000
Ru1 Ru 0.7029 0.0000 0.2971
Ru2 Ru 0.2971 0.0000 0.7029
Ag1 Ag 0.8261 0.5000 0.8261
Ag2 Ag 0.1739 0.5000 0.1739

=====

Record 5
# SmAgRu, relaxed, DFT PBE
# Volume (Å³/atom): 22.4
# Energy of formation from the pure elements (eV/atom): -0.082
# Space group: No. 12
# Calculated total energy (eV/atom): -5.698
data_SmAgRu
_chemical_formula_sum 'Sm2 Ag2 Ru2'
_space_group_name_H-M_alt 'P 1'
_space_group_IT_number 1
_space_group_name_Hall 'P 1'
_cell_length_a 4.3313
_cell_length_b 5.1551
_cell_length_c 6.5263
_cell_angle_alpha 101.24
_cell_angle_beta 109.38
_cell_angle_gamma 90.00
loop_
_atom_site_label
_atom_site_type_symbol
_atom_site_fract_x
_atom_site_fract_y
_atom_site_fract_z
Ag1 Ag 0.5708 0.7657 0.1416
Ag2 Ag 0.4292 0.2343 0.8584
Ru1 Ru 0.2248 0.8978 0.4496
Ru2 Ru 0.7752 0.1022 0.5504
Sm1 Sm 0.1199 0.3275 0.2399
Sm2 Sm 0.8801 0.6725 0.7601

=====

Record 6
# Sm5AgRu4, relaxed, DFT PBE
# Volume (Å³/atom): 21.9
# Energy of formation from the pure elements (eV/atom): -0.232
# Space group: No. 123
# Calculated total energy (eV/atom): -6.587
data_Sm5AgRu4
_chemical_formula_sum 'Sm5 Ag1 Ru4'
_space_group_name_H-M_alt 'P 1'
_space_group_IT_number 1
_space_group_name_Hall 'P 1'
_cell_length_a 3.4774
_cell_length_b 3.4774
_cell_length_c 18.0709
_cell_angle_alpha 90.00
_cell_angle_beta 90.00
_cell_angle_gamma 90.00
loop_
_atom_site_label
_atom_site_type_symbol
_atom_site_fract_x
_atom_site_fract_y
_atom_site_fract_z
Sm1 Sm 0.5000 0.5000 0.3093
Sm2 Sm 0.5000 0.5000 0.8824
Sm3 Sm 0.5000 0.5000 0.6907
Sm4 Sm 0.5000 0.5000 0.1176
Sm5 Sm 0.5000 0.5000 0.5000
Ru1 Ru 0.0000 0.0000 0.5958
Ru2 Ru 0.0000 0.0000 0.4042
Ru3 Ru 0.0000 0.0000 0.7920
Ru4 Ru 0.0000 0.0000 0.2080
Ag1 Ag 0.0000 0.0000 0.0000

=====

Record 7
# Sm8Ag2Ru, relaxed, DFT PBE
# Volume (Å³/atom): 28.6
# Energy of formation from the pure elements (eV/atom): -0.137
# Space group: No. 12
# Calculated total energy (eV/atom): -4.931
data_Sm8Ag2Ru
_chemical_formula_sum 'Sm8 Ag2 Ru1'
_space_group_name_H-M_alt 'P 1'
_space_group_IT_number 1
_space_group_name_Hall 'P 1'
_cell_length_a 5.3165
_cell_length_b 6.9969
_cell_length_c 9.2359
_cell_angle_alpha 106.19
_cell_angle_beta 106.73
_cell_angle_gamma 90.00
loop_
_atom_site_label
_atom_site_type_symbol
_atom_site_fract_x
_atom_site_fract_y
_atom_site_fract_z
Ag1 Ag 0.1839 0.7171 0.3677
Ag2 Ag 0.8161 0.2829 0.6323
Sm1 Sm 0.3418 0.0291 0.6836
Sm2 Sm 0.9742 0.2087 0.9483
Sm3 Sm 0.1996 0.3078 0.3992
Sm4 Sm 0.0258 0.7913 0.0517
Sm5 Sm 0.8004 0.6922 0.6008
Sm6 Sm 0.6582 0.9709 0.3164
Sm7 Sm 0.4107 0.5658 0.8214
Sm8 Sm 0.5893 0.4342 0.1786
Ru1 Ru 0.5000 0.0000 0.0000

=====

Record 8
# Sm6AgRu, relaxed, DFT PBE
# Volume (Å³/atom): 33.3
# Energy of formation from the pure elements (eV/atom): -0.006
# Space group: No. 2
# Calculated total energy (eV/atom): -5.061
data_Sm6AgRu
_chemical_formula_sum 'Sm6 Ag1 Ru1'
_space_group_name_H-M_alt 'P 1'
_space_group_IT_number 1
_space_group_name_Hall 'P 1'
_cell_length_a 6.8208
_cell_length_b 6.8261
_cell_length_c 7.6936
_cell_angle_alpha 63.71
_cell_angle_beta 63.74
_cell_angle_gamma 60.03
loop_
_atom_site_label
_atom_site_type_symbol
_atom_site_fract_x
_atom_site_fract_y
_atom_site_fract_z
Ag1 Ag 0.5000 0.5000 0.5000
Sm1 Sm 0.2362 0.9440 0.2389
Sm2 Sm 0.0564 0.4183 0.7610
Sm3 Sm 0.9436 0.5817 0.2390
Sm4 Sm 0.5818 0.2359 0.2389
Sm5 Sm 0.4182 0.7641 0.7611
Sm6 Sm 0.7638 0.0560 0.7611
Ru1 Ru 0.0000 0.0000 0.0000

=====

Record 9
# Sm6AgRu2, relaxed, DFT PBE
# Volume (Å³/atom): 26.3
# Energy of formation from the pure elements (eV/atom): -0.173
# Space group: No. 12
# Calculated total energy (eV/atom): -5.697
data_Sm6AgRu2
_chemical_formula_sum 'Sm6 Ag1 Ru2'
_space_group_name_H-M_alt 'P 1'
_space_group_IT_number 1
_space_group_name_Hall 'P 1'
_cell_length_a 5.2405
_cell_length_b 5.6833
_cell_length_c 9.0723
_cell_angle_alpha 81.60
_cell_angle_beta 90.00
_cell_angle_gamma 117.45
loop_
_atom_site_label
_atom_site_type_symbol
_atom_site_fract_x
_atom_site_fract_y
_atom_site_fract_z
Sm1 Sm 0.7147 0.4294 0.1630
Sm2 Sm 0.3470 0.6940 0.3926
Sm3 Sm 0.6530 0.3060 0.6074
Sm4 Sm 0.0433 0.0866 0.1612
Sm5 Sm 0.9567 0.9134 0.8388
Sm6 Sm 0.2853 0.5706 0.8370
Ag1 Ag 0.0000 0.0000 0.5000
Ru1 Ru 0.3896 0.7792 0.1021
Ru2 Ru 0.6104 0.2208 0.8979

=====

Record 10
# Sm5Ag4Ru, relaxed, DFT PBE
# Volume (Å³/atom): 24.5
# Energy of formation from the pure elements (eV/atom): -0.275
# Space group: No. 123
# Calculated total energy (eV/atom): -4.703
data_Sm5Ag4Ru
_chemical_formula_sum 'Sm5 Ag4 Ru1'
_space_group_name_H-M_alt 'P 1'
_space_group_IT_number 1
_space_group_name_Hall 'P 1'
_cell_length_a 3.5987
_cell_length_b 3.5987
_cell_length_c 18.9548
_cell_angle_alpha 90.00
_cell_angle_beta 90.00
_cell_angle_gamma 90.00
loop_
_atom_site_label
_atom_site_type_symbol
_atom_site_fract_x
_atom_site_fract_y
_atom_site_fract_z
Ag1 Ag 0.0000 0.0000 0.3982
Ag2 Ag 0.0000 0.0000 0.8052
Ag3 Ag 0.0000 0.0000 0.1948
Ag4 Ag 0.0000 0.0000 0.6018
Sm1 Sm 0.5000 0.5000 0.0888
Sm2 Sm 0.5000 0.5000 0.2958
Sm3 Sm 0.5000 0.5000 0.5000
Sm4 Sm 0.5000 0.5000 0.9112
Sm5 Sm 0.5000 0.5000 0.7042
Ru1 Ru 0.0000 0.0000 0.0000

=====

Record 11
# Sm2AgRu, relaxed, DFT PBE
# Volume (Å³/atom): 26.4
# Energy of formation from the pure elements (eV/atom): -0.093
# Space group: No. 166
# Calculated total energy (eV/atom): -5.484
data_Sm2AgRu
_chemical_formula_sum 'Sm2 Ag1 Ru1'
_space_group_name_H-M_alt 'P 1'
_space_group_IT_number 1
_space_group_name_Hall 'P 1'
_cell_length_a 3.9888
_cell_length_b 3.9888
_cell_length_c 8.0147
_cell_angle_alpha 75.59
_cell_angle_beta 75.59
_cell_angle_gamma 60.00
loop_
_atom_site_label
_atom_site_type_symbol
_atom_site_fract_x
_atom_site_fract_y
_atom_site_fract_z
Sm1 Sm 0.7356 0.7356 0.7933
Sm2 Sm 0.2644 0.2644 0.2067
Ag1 Ag 0.5000 0.5000 0.5000
Ru1 Ru 0.0000 0.0000 0.0000

=====

Record 12
# Sm3Ag2Ru, relaxed, DFT PBE
# Volume (Å³/atom): 24.0
# Energy of formation from the pure elements (eV/atom): -0.283
# Space group: No. 65
# Calculated total energy (eV/atom): -5.139
data_Sm3Ag2Ru
_chemical_formula_sum 'Sm6 Ag4 Ru2'
_space_group_name_H-M_alt 'P 1'
_space_group_IT_number 1
_space_group_name_Hall 'P 1'
_cell_length_a 5.1150
_cell_length_b 8.0031
_cell_length_c 7.4251
_cell_angle_alpha 90.00
_cell_angle_beta 90.00
_cell_angle_gamma 71.36
loop_
_atom_site_label
_atom_site_type_symbol
_atom_site_fract_x
_atom_site_fract_y
_atom_site_fract_z
Sm1 Sm 0.5000 0.0000 0.7661
Sm2 Sm 0.1731 0.6538 0.7709
Sm3 Sm 0.5000 0.0000 0.2339
Sm4 Sm 0.1731 0.6538 0.2291
Sm5 Sm 0.8269 0.3462 0.2291
Sm6 Sm 0.8269 0.3462 0.7709
Ag1 Ag 0.0000 0.0000 0.0000
Ag2 Ag 0.3357 0.3286 0.5000
Ag3 Ag 0.6643 0.6714 0.5000
Ag4 Ag 0.0000 0.0000 0.5000
Ru1 Ru 0.6652 0.6695 0.0000
Ru2 Ru 0.3348 0.3305 0.0000